<P>
Material: NaY3Ti
Method: DFT, PBE
State: optimized geometry

```
NaY3Ti
1.0
5.541 0.000 0.000
0.000 5.541 0.000
0.000 0.000 5.541
Y Na Ti
3 1 1
direct
0.000 0.500 0.000
0.000 0.000 0.500
0.500 0.000 0.000
0.500 0.500 0.500
0.000 0.000 0.000
```

Values from the calculation:
crystal system	cubic
space group	Pm-3m (221)

---

<Q>
Material: NaY3Ti
Method: DFT, PBE
State: optimized geometry

```
NaY3Ti
1.0
-4.627 -2.764 -0.596
1.851 -2.097 -4.646
2.138 -4.167 2.733
Y Na Ti
3 1 1
direct
0.000 0.500 0.000
0.000 0.000 0.500
0.500 0.000 0.000
0.000 0.000 0.000
0.500 0.500 0.500
```

Values from the calculation:
crystal system	cubic
space group	Pm-3m (221)

---

Most favorable first, least favorable last: <P>, <Q>